Entry 1:
YAlIn4Ir | PBE | relaxed

abc: 4.6147 4.6147 7.4259
angles: 90.00 90.00 90.00
Space group P4/mmm (No. 123)
Unique sites:
1 Y 0.0000 0.0000 0.0000
2 Al 0.5000 0.5000 0.0000
3 In 0.0000 0.5000 0.2954
4 Ir 0.0000 0.0000 0.5000

- theoretical density (g/cm³) = 8.06
- magnetic moment (μB per formula unit) = 0.00
- calculated total energy (eV per atom) = -4.623

Entry 2:
MgTaGaOs | PBE | relaxed

abc: 6.3402 6.3402 6.3402
angles: 90.00 90.00 90.00
Space group F-43m (No. 216)
Unique sites:
1 Mg 0.0000 0.0000 0.0000
2 Ta 0.0000 0.0000 0.5000
3 Ga 0.2500 0.2500 0.2500
4 Os 0.2500 0.2500 0.7500

- energy above the lowest structure with this stoichiometry (eV per atom) = 0.0451
- theoretical density (g/cm³) = 12.12
- magnetic moment (μB per formula unit) = 0.00

Entry 3:
NbIn3O6 | PBE | relaxed

abc: 5.6215 5.6637 9.7976
angles: 90.00 124.65 90.00
Space group P2_1/c (No. 14)
Unique sites:
1 Nb 0.0000 0.0000 0.0000
2 In 0.2654 0.0451 0.7548
3 In 0.5000 0.0000 0.5000
4 O 0.1129 0.0522 0.2383
5 O 0.2496 0.7034 0.0713
6 O 0.3612 0.1821 0.0610

- theoretical density (g/cm³) = 6.90
- magnetic moment (μB per formula unit) = 0.00
- calculated total energy (eV per atom) = -6.412

Entry 4:
NaGe5Ir3 | PBE | relaxed

abc: 5.4284 5.4284 6.9072
angles: 90.00 90.00 120.00
Space group P6/mmm (No. 191)
Unique sites:
1 Na 0.0000 0.0000 0.0000
2 Ge 0.0000 0.0000 0.5000
3 Ge 0.3333 0.6667 0.2041
4 Ir 0.0000 0.5000 0.5000

- theoretical density (g/cm³) = 9.07
- magnetic moment (μB per formula unit) = 0.00
- calculated total energy (eV per atom) = -5.652

Entry 5:
SiNi6B2 | PBE | relaxed

abc: 5.4589 5.4589 3.4460
angles: 90.00 90.00 120.00
Space group P-62m (No. 189)
Unique sites:
1 Si 0.0000 0.0000 0.0000
2 Ni 0.0000 0.2751 0.5000
3 Ni 0.0000 0.5840 0.0000
4 B 0.3333 0.6667 0.5000

- theoretical density (g/cm³) = 7.50
- magnetic moment (μB per formula unit) = 0.00
- calculated total energy (eV per atom) = -6.073

Entry 6:
Tb2Lu2O5 | PBE | relaxed

abc: 3.8769 3.8769 9.3533
angles: 90.00 90.00 90.00
Space group P4/mmm (No. 123)
Unique sites:
1 Tb 0.0000 0.0000 0.2417
2 Lu 0.5000 0.5000 0.0000
3 Lu 0.5000 0.5000 0.5000
4 O 0.0000 0.0000 0.5000
5 O 0.0000 0.5000 0.1401

- energy above the lowest structure with this stoichiometry (eV per atom) = 0.0000
- theoretical density (g/cm³) = 8.83
- magnetic moment (μB per formula unit) = 0.99